[1]
# PrLuMgTe3 | OQMD via LeMat-Bulk | PBE-GGA | optimized geometry
# Uncorrected energy ... -4.404 eV/atom
data_PrLuMgTe3
_space_group_name_H-M_alt 'C m c m'
_space_group_IT_number 63
_space_group_name_Hall '-C 2c 2'
_cell_length_a 4.2821
_cell_length_b 14.9611
_cell_length_c 10.8905
_cell_angle_alpha 90.00
_cell_angle_beta 90.00
_cell_angle_gamma 90.00
loop_
_atom_site_label
_atom_site_fract_x
_atom_site_fract_y
_atom_site_fract_z
Pr1 0.0000 0.2174 0.2500
Lu1 0.0000 0.0000 0.0000
Mg1 0.0000 0.4809 0.7500
Te1 0.0000 0.1089 0.7500
Te2 0.0000 0.3572 0.5498

***

[2]
# RbLuPO | OQMD via LeMat-Bulk | PBE-GGA | optimized geometry
# Uncorrected energy ... -5.198 eV/atom
data_RbLuPO
_space_group_name_H-M_alt 'P 4/n m m'
_space_group_IT_number 129
_cell_length_a 4.0510
_cell_length_b 4.0510
_cell_length_c 10.4936
_cell_angle_alpha 90.00
_cell_angle_beta 90.00
_cell_angle_gamma 90.00
loop_
_space_group_symop_operation_xyz
'x,y,z'
'-x,-y,-z'
'-y+1/2,x,z'
'y+1/2,-x,-z'
'-x+1/2,-y+1/2,z'
'x+1/2,y+1/2,-z'
'y,-x+1/2,z'
'-y,x+1/2,-z'
'x+1/2,-y,-z'
'-x+1/2,y,z'
'-y,-x,-z'
'y,x,z'
'-x,y+1/2,-z'
'x,-y+1/2,z'
'y+1/2,x+1/2,-z'
'-y+1/2,-x+1/2,z'
loop_
_atom_site_label
_atom_site_fract_x
_atom_site_fract_y
_atom_site_fract_z
Rb1 0.2500 0.7500 0.0000
Lu1 0.2500 0.2500 0.4120
P1 0.2500 0.2500 0.7600
O1 0.2500 0.7500 0.5000

***

[3]
# Pr2HoCd4In2 | OQMD via LeMat-Bulk | PBE-GGA | optimized geometry
# Uncorrected energy ... -2.992 eV/atom
data_Pr2HoCd4In2
_space_group_name_H-M_alt 'A m m 2'
_space_group_IT_number 38
_cell_length_a 4.6993
_cell_length_b 13.0666
_cell_length_c 7.6773
_cell_angle_alpha 90.00
_cell_angle_beta 90.00
_cell_angle_gamma 90.00
loop_
_space_group_symop_operation_xyz
'x,y,z'
'-x,-y,z'
'-x,y,z'
'x,-y,z'
'x,y+1/2,z+1/2'
'-x,-y+1/2,z+1/2'
'-x,y+1/2,z+1/2'
'x,-y+1/2,z+1/2'
loop_
_atom_site_label
_atom_site_fract_x
_atom_site_fract_y
_atom_site_fract_z
Pr1 0.0000 0.2109 0.0000
Ho1 0.0000 0.0000 0.3639
Cd1 0.0000 0.0000 0.7765
Cd2 0.5000 0.0000 0.0256
Cd3 0.5000 0.1214 0.6653
In1 0.5000 0.1628 0.2882

***

[4]
# ScBIr | OQMD via LeMat-Bulk | PBE-GGA | optimized geometry
# Uncorrected energy ... -7.620 eV/atom
data_ScBIr
_space_group_name_H-M_alt 'F -4 3 m'
_space_group_IT_number 216
_space_group_name_Hall 'F -4 2 3'
_cell_length_a 5.5433
_cell_length_b 5.5433
_cell_length_c 5.5433
_cell_angle_alpha 90.00
_cell_angle_beta 90.00
_cell_angle_gamma 90.00
loop_
_atom_site_label
_atom_site_fract_x
_atom_site_fract_y
_atom_site_fract_z
Sc1 0.0000 0.0000 0.0000
B1 0.2500 0.2500 0.7500
Ir1 0.0000 0.0000 0.5000

***

[5]
# SmCoW | OQMD via LeMat-Bulk | PBE-GGA | optimized geometry
# Formation enthalpy at 0 K ... 1872 meV per atom
data_SmCoW
_space_group_name_H-M_alt 'F -4 3 m'
_space_group_IT_number 216
_space_group_name_Hall 'F -4 2 3'
_cell_length_a 6.3232
_cell_length_b 6.3232
_cell_length_c 6.3232
_cell_angle_alpha 90.00
_cell_angle_beta 90.00
_cell_angle_gamma 90.00
loop_
_atom_site_label
_atom_site_fract_x
_atom_site_fract_y
_atom_site_fract_z
Sm1 0.0000 0.0000 0.0000
Co1 0.2500 0.2500 0.7500
W1 0.2500 0.2500 0.2500

***

[6]
# YCuSbOs | OQMD via LeMat-Bulk | PBE-GGA | optimized geometry
# Uncorrected energy ... -6.054 eV/atom
data_YCuSbOs
_space_group_name_H-M_alt 'F -4 3 m'
_space_group_IT_number 216
_space_group_name_Hall 'F -4 2 3'
_cell_length_a 6.7471
_cell_length_b 6.7471
_cell_length_c 6.7471
_cell_angle_alpha 90.00
_cell_angle_beta 90.00
_cell_angle_gamma 90.00
loop_
_atom_site_label
_atom_site_fract_x
_atom_site_fract_y
_atom_site_fract_z
Y1 0.0000 0.0000 0.0000
Cu1 0.0000 0.0000 0.5000
Sb1 0.2500 0.2500 0.2500
Os1 0.2500 0.2500 0.7500

***

[7]
# HfTlAgSe3 | OQMD via LeMat-Bulk | PBE-GGA | optimized geometry
# Uncorrected energy ... -4.986 eV/atom
data_HfTlAgSe3
_space_group_name_H-M_alt 'P n m a'
_space_group_IT_number 62
_cell_length_a 12.3071
_cell_length_b 3.9343
_cell_length_c 12.5743
_cell_angle_alpha 90.00
_cell_angle_beta 90.00
_cell_angle_gamma 90.00
loop_
_space_group_symop_operation_xyz
'x,y,z'
'-x,-y,-z'
'-x+1/2,-y,z+1/2'
'x+1/2,y,-z+1/2'
'x+1/2,-y+1/2,-z+1/2'
'-x+1/2,y+1/2,z+1/2'
'-x,y+1/2,-z'
'x,-y+1/2,z'
loop_
_atom_site_label
_atom_site_fract_x
_atom_site_fract_y
_atom_site_fract_z
Hf1 0.0410 0.2500 0.1606
Tl1 0.1599 0.2500 0.4969
Ag1 0.2410 0.7500 0.3121
Se1 0.0202 0.7500 0.3084
Se2 0.0828 0.2500 0.9349
Se3 0.2472 0.2500 0.1619

***

[8]
# ZrTlGe | OQMD via LeMat-Bulk | PBE-GGA | optimized geometry
# Uncorrected energy ... -4.921 eV/atom
data_ZrTlGe
_space_group_name_H-M_alt 'F -4 3 m'
_space_group_IT_number 216
_space_group_name_Hall 'F -4 2 3'
_cell_length_a 6.6507
_cell_length_b 6.6507
_cell_length_c 6.6507
_cell_angle_alpha 90.00
_cell_angle_beta 90.00
_cell_angle_gamma 90.00
loop_
_atom_site_label
_atom_site_fract_x
_atom_site_fract_y
_atom_site_fract_z
Zr1 0.0000 0.0000 0.0000
Tl1 0.0000 0.0000 0.5000
Ge1 0.2500 0.2500 0.7500

***

[9]
# SrSn2Hg | OQMD via LeMat-Bulk | PBE-GGA | optimized geometry
# Uncorrected energy ... -2.822 eV/atom
data_SrSn2Hg
_space_group_name_H-M_alt 'F -4 3 m'
_space_group_IT_number 216
_space_group_name_Hall 'F -4 2 3'
_cell_length_a 7.7602
_cell_length_b 7.7602
_cell_length_c 7.7602
_cell_angle_alpha 90.00
_cell_angle_beta 90.00
_cell_angle_gamma 90.00
loop_
_atom_site_label
_atom_site_fract_x
_atom_site_fract_y
_atom_site_fract_z
Sr1 0.0000 0.0000 0.0000
Sn1 0.0000 0.0000 0.5000
Sn2 0.2500 0.2500 0.7500
Hg1 0.2500 0.2500 0.2500

***

[10]
# SmHfAl | OQMD via LeMat-Bulk | PBE-GGA | optimized geometry
# Uncorrected energy ... -5.445 eV/atom
data_SmHfAl
_space_group_name_H-M_alt 'F -4 3 m'
_space_group_IT_number 216
_space_group_name_Hall 'F -4 2 3'
_cell_length_a 6.9594
_cell_length_b 6.9594
_cell_length_c 6.9594
_cell_angle_alpha 90.00
_cell_angle_beta 90.00
_cell_angle_gamma 90.00
loop_
_atom_site_label
_atom_site_fract_x
_atom_site_fract_y
_atom_site_fract_z
Sm1 0.0000 0.0000 0.0000
Hf1 0.2500 0.2500 0.7500
Al1 0.0000 0.0000 0.5000

***

[11]
# YUPa | OQMD via LeMat-Bulk | PBE-GGA | optimized geometry
# Formation enthalpy at 0 K ... 1166 meV per atom
data_YUPa
_space_group_name_H-M_alt 'F -4 3 m'
_space_group_IT_number 216
_space_group_name_Hall 'F -4 2 3'
_cell_length_a 7.0947
_cell_length_b 7.0947
_cell_length_c 7.0947
_cell_angle_alpha 90.00
_cell_angle_beta 90.00
_cell_angle_gamma 90.00
loop_
_atom_site_label
_atom_site_fract_x
_atom_site_fract_y
_atom_site_fract_z
Y1 0.0000 0.0000 0.0000
U1 0.2500 0.2500 0.2500
Pa1 0.0000 0.0000 0.5000

***

[12]
# Ba2Cu2SbAs | OQMD via LeMat-Bulk | PBE-GGA | optimized geometry
# Uncorrected energy ... -4.058 eV/atom
data_Ba2Cu2SbAs
_space_group_name_H-M_alt 'P -6 m 2'
_space_group_IT_number 187
_space_group_name_Hall 'P -6 2'
_cell_length_a 4.5067
_cell_length_b 4.5067
_cell_length_c 9.4555
_cell_angle_alpha 90.00
_cell_angle_beta 90.00
_cell_angle_gamma 120.00
loop_
_atom_site_label
_atom_site_fract_x
_atom_site_fract_y
_atom_site_fract_z
Ba1 0.0000 0.0000 0.2402
Cu1 0.3333 0.6667 0.0000
Cu2 0.6667 0.3333 0.5000
Sb1 0.3333 0.6667 0.5000
As1 0.6667 0.3333 0.0000

***

| no. | V (Å³ per cell) |
| --- | --- |
| 1 | 697.7 |
| 2 | 172.2 |
| 3 | 471.4 |
| 4 | 170.3 |
| 5 | 252.8 |
| 6 | 307.1 |
| 7 | 608.8 |
| 8 | 294.2 |
| 9 | 467.3 |
| 10 | 337.1 |
| 11 | 357.1 |
| 12 | 166.3 |